No. 1
A geometry-optimized Ba2TlH12Rh3 structure, computed with GGA-PBE.

Structure (POSCAR):
```
Ba2TlH12Rh3
1.0
3.2070 1.8516 5.7912
-3.2070 1.8516 5.7912
0.0000 -3.7032 5.7912
Ba Tl H Rh
2 1 12 3
Direct
0.1087 0.1087 0.1087
0.8913 0.8913 0.8913
0.5000 0.5000 0.5000
0.0454 0.6208 0.6208
0.2055 0.2055 0.6263
0.2055 0.6263 0.2055
0.3737 0.7945 0.7945
0.3792 0.3792 0.9546
0.3792 0.9546 0.3792
0.6208 0.0454 0.6208
0.6208 0.6208 0.0454
0.6263 0.2055 0.2055
0.7945 0.3737 0.7945
0.7945 0.7945 0.3737
0.9546 0.3792 0.3792
0.0000 0.5000 0.5000
0.5000 0.0000 0.5000
0.5000 0.5000 0.0000
```

Calculated values
ρ = 6.44 g cm⁻³
electronic total energy = -4.052 eV/atom
N(E_F) = 0.210 states/eV/atom

No. 2
A geometry-optimized Ba2TlHRh structure, computed with GGA-PBE.

Structure (POSCAR):
```
Ba2TlHRh
1.0
7.2764 0.0000 0.0000
0.0000 4.4287 0.0000
-2.9075 0.0000 9.1465
Ba Tl H Rh
4 2 2 2
Direct
0.2235 0.2500 0.3972
0.2401 0.2500 0.9686
0.7599 0.7500 0.0314
0.7765 0.7500 0.6028
0.3369 0.7500 0.7075
0.6631 0.2500 0.2925
0.1655 0.7500 0.1578
0.8345 0.2500 0.8422
0.4117 0.7500 0.2259
0.5883 0.2500 0.7741
```

Calculated values
ρ = 6.57 g cm⁻³
electronic total energy = -3.729 eV/atom
N(E_F) = 0.790 states/eV/atom